Entry 1:
VASP calculation (PBE) on an optimized crystal structure of NaTbTm2.

Summary:
Energy above the lowest structure with this stoichiometry, eV per atom: 0.000
SG: P4/mmm (123)
DOS(E_F), states/eV/atom: 1.015
ΔE_f, eV/atom: 0.148

Cell and atoms, written as CIF:
```
data_NaTbTm2
_symmetry_space_group_name_H-M 'P 1'
_symmetry_Int_Tables_number 1
_symmetry_space_group_name_Hall 'P 1'
_cell_length_a 3.524
_cell_length_b 3.524
_cell_length_c 10.376
_cell_angle_alpha 90.00
_cell_angle_beta 90.00
_cell_angle_gamma 90.00
loop_
_atom_site_label
_atom_site_fract_x
_atom_site_fract_y
_atom_site_fract_z
Na1 0.500 0.500 0.500
Tm1 0.000 0.000 0.771
Tm2 0.000 0.000 0.229
Tb1 0.500 0.500 0.000
```

***

Entry 2:
VASP calculation (PBE) on an optimized crystal structure of LaDy2TmAs4.

Summary:
SG: P2/m (10)
DOS(E_F), states/eV/atom: 0.109
ΔE_f, eV/atom: -1.517

Cell and atoms, written as CIF:
```
data_LaDy2TmAs4
_symmetry_space_group_name_H-M 'P 1'
_symmetry_Int_Tables_number 1
_symmetry_space_group_name_Hall 'P 1'
_cell_length_a 4.176
_cell_length_b 7.228
_cell_length_c 7.222
_cell_angle_alpha 70.57
_cell_angle_beta 90.00
_cell_angle_gamma 90.00
loop_
_atom_site_label
_atom_site_fract_x
_atom_site_fract_y
_atom_site_fract_z
La1 0.000 0.500 0.500
Dy1 0.000 0.000 0.000
Dy2 0.500 0.000 0.500
Tm1 0.500 0.500 0.000
As1 0.000 0.752 0.757
As2 0.000 0.248 0.243
As3 0.500 0.758 0.240
As4 0.500 0.242 0.760
```

***

Entry 3:
VASP calculation (PBE) on an optimized crystal structure of Th5FeSn2.

Summary:
Energy above the lowest structure with this stoichiometry, eV per atom: 0.224
SG: I4mm (107)
DOS(E_F), states/eV/atom: 1.214
ΔE_f, eV/atom: -0.145

Cell and atoms, written as CIF:
```
data_Th5FeSn2
_symmetry_space_group_name_H-M 'P 1'
_symmetry_Int_Tables_number 1
_symmetry_space_group_name_Hall 'P 1'
_cell_length_a 7.439
_cell_length_b 7.439
_cell_length_c 6.851
_cell_angle_alpha 122.89
_cell_angle_beta 122.90
_cell_angle_gamma 89.98
loop_
_atom_site_label
_atom_site_fract_x
_atom_site_fract_y
_atom_site_fract_z
Th1 0.761 0.256 0.017
Th2 0.256 0.256 0.017
Th3 0.761 0.761 0.017
Th4 0.256 0.761 0.017
Th5 0.724 0.724 0.447
Fe1 0.008 0.008 0.016
Sn1 0.255 0.755 0.510
Sn2 0.755 0.255 0.510
```

***

Quick rundown of total magnetic moment, same order as above: 0.0, 0.0, 0.0 μB/cell